No. 1
Tl3In2I6 | PBE | optimized geometry

Cell and atoms, written as extended XYZ:
```
11
Lattice="8.084 0.000 2.354 4.042 7.306 1.177 0.432 0.000 8.319" Properties=species:S:1:pos:R:3 pbc="T T T"
In 8.300 2.474 6.514
In 4.258 4.832 5.337
Tl 4.042 2.298 1.177
Tl 8.084 5.008 2.354
Tl 0.000 0.000 0.000
I 2.310 2.512 6.758
I 6.206 2.512 3.916
I 6.352 4.794 7.935
I 2.004 0.000 2.855
I 6.512 0.000 7.819
I 10.248 4.794 5.093
```

Output
V	483.9	Å³/f.u.
E_form (uncorrected)	-528	meV per atom
VASP energy	-0.0925	Ha/atom

No. 2
TlInI | PBE | optimized geometry

Cell and atoms, written as extended XYZ:
```
6
Lattice="-0.346 -0.396 5.299 4.768 0.432 -2.332 -0.568 10.155 0.721" Properties=species:S:1:pos:R:3 pbc="T T T"
Tl 0.814 9.603 3.446
Tl 1.166 3.318 3.000
In -0.464 8.288 0.589
In 2.606 8.323 0.792
I -0.081 1.453 0.103
I 2.776 5.282 0.576
```

Output
distance to the lowest polymorph of the same formula	0.23	kJ per mole of atoms
V	125.2	Å³/f.u.
E_form (uncorrected)	-306	meV per atom
VASP energy	-0.0928	Ha/atom

No. 3
Tl2InI5 | PBE | optimized geometry

Cell and atoms, written as extended XYZ:
```
8
Lattice="-6.816 -2.036 -4.293 -1.068 -6.780 4.912 0.440 7.812 3.634" Properties=species:S:1:pos:R:3 pbc="T T T"
I -6.139 -6.558 0.621
I -5.851 -2.866 2.610
I -5.827 -2.726 -1.651
I -2.581 -5.495 2.862
I -2.304 -1.674 0.568
Tl -4.664 0.538 -0.891
Tl -1.809 -2.228 3.929
In -7.362 -1.154 4.196
```

Output
V	440.2	Å³/f.u.
E_form (uncorrected)	-544	meV per atom
VASP energy	-0.0899	Ha/atom

No. 4
Tl2InI | PBE | optimized geometry

Cell and atoms, written as extended XYZ:
```
4
Lattice="0.000 4.087 4.087 4.087 0.000 4.087 4.087 4.087 0.000" Properties=species:S:1:pos:R:3 pbc="T T T"
I 4.087 4.087 4.087
Tl 6.131 6.131 6.131
Tl 2.044 2.044 2.044
In 0.000 0.000 0.000
```

Output
distance to the lowest polymorph of the same formula	12.29	kJ per mole of atoms
V	136.5	Å³/f.u.
E_form (uncorrected)	-25	meV per atom
VASP energy	-0.0838	Ha/atom

No. 5
TlInI6 | PBE | optimized geometry

Cell and atoms, written as extended XYZ:
```
8
Lattice="7.544 0.012 0.011 3.766 6.535 0.014 3.767 2.175 6.769" Properties=species:S:1:pos:R:3 pbc="T T T"
I 8.793 6.593 5.138
I 10.101 4.394 1.665
I 8.844 2.157 5.132
I 6.232 6.566 1.662
I 4.975 4.328 5.129
I 6.283 2.130 1.656
Tl 7.538 4.361 3.397
In 0.000 0.000 0.000
```

Output
V	333.0	Å³/f.u.
E_form (uncorrected)	-267	meV per atom
VASP energy	-0.0760	Ha/atom

No. 6
Tl2In3I5 | PBE | optimized geometry

Cell and atoms, written as extended XYZ:
```
10
Lattice="-1.728 3.165 -3.445 -0.493 -4.399 -7.404 -10.918 0.353 2.193" Properties=species:S:1:pos:R:3 pbc="T T T"
In -7.864 0.148 0.472
In -6.570 -0.440 -4.328
In -5.276 -1.028 -9.127
I 0.000 0.000 0.000
I -4.834 -0.112 -1.287
I -3.546 -0.701 -6.085
I -9.594 -0.179 -2.571
I -8.307 -0.769 -7.368
Tl -1.771 -0.353 -3.045
Tl -11.369 -0.528 -5.610
```

Output
V	437.4	Å³/f.u.
E_form (uncorrected)	-539	meV per atom
VASP energy	-0.0959	Ha/atom